Material: BaWF3
Method: DFT, PBE with a Hubbard U
State: optimized geometry

Output
**E**: -4.5331 eV/atom
**Energy relative to the lowest polymorph listed for this composition**: 0.307 eV per atom

Geometry as CIF:
```
data_BaWF3
_space_group_name_H-M_alt 'P m -3 m'
_space_group_IT_number 221
_space_group_name_Hall '-P 4 2 3'
_cell_length_a 4.8867
_cell_length_b 4.8867
_cell_length_c 4.8867
_cell_angle_alpha 90.00
_cell_angle_beta 90.00
_cell_angle_gamma 90.00
loop_
_atom_site_label
_atom_site_type_symbol
_atom_site_fract_x
_atom_site_fract_y
_atom_site_fract_z
_atom_site_occupancy
Ba1 Ba 0.0000 0.0000 0.0000 1
W1 W 0.5000 0.5000 0.5000 1
F1 F 0.0000 0.0000 0.5000 1
```